1.
Compound: ZrFePtC2
Source: Alexandria
Functional: PBE
Structure: relaxed

abc: 4.1873 5.1718 4.1873
angles: 90.00 90.00 90.00
Last column: magnetic moment on the atom in μB.
Fractional positions:
Pt 0.0000 0.5000 0.0000  0.16
Zr 0.0000 0.0000 0.0000  0.07
Fe 0.5000 0.5000 0.5000  -0.03
C 0.5000 0.0000 0.0000  0.07
C 0.0000 0.0000 0.5000  0.18

Calculated values
Its space-group type is P4/mmm. The formation energy comes out at 2270 meV/atom. The raw total energy is -30.15 eV/cell.



2.
Compound: Pu3Fe4C2
Source: Alexandria
Functional: PBE
Structure: relaxed

abc: 3.7242 4.7382 7.7982
angles: 95.02 90.00 113.14
Last column: magnetic moment on the atom in μB.
Fractional positions:
Fe 0.3060 0.6121 0.8927  1.35
C 0.6941 0.3882 0.3550  -0.03
Fe 0.1503 0.3006 0.4396  -1.41
Fe 0.6940 0.3879 0.1073  1.35
Pu 0.4044 0.8089 0.2982  4.67
Pu 0.5956 0.1911 0.7018  4.67
Pu 0.0000 0.0000 0.0000  -4.72
C 0.3059 0.6118 0.6450  -0.03
Fe 0.8497 0.6994 0.5604  -1.41

Calculated values
Its space-group type is C2/m. The formation energy comes out at 127 meV/atom. The raw total energy is -94.15 eV/cell.



3.
Compound: PuFeC
Source: Alexandria
Functional: PBE
Structure: relaxed

abc: 3.5600 5.1608 5.0680
angles: 112.70 90.00 90.00
Last column: magnetic moment on the atom in μB.
Fractional positions:
Fe 0.7500 0.1593 0.1071  -1.08
C 0.7500 0.8239 0.7355  -0.04
C 0.2500 0.1761 0.2645  -0.04
Fe 0.2500 0.8407 0.8929  -1.08
Pu 0.2500 0.6887 0.3188  4.93
Pu 0.7500 0.3113 0.6812  4.93

Calculated values
The offset from the most stable computed form comes out at 0.0 meV/atom. Its space-group type is P2_1/m. The formation energy comes out at -1 meV/atom. The raw total energy is -64.04 eV/cell.



| no. | V (A^3/atom) |
| --- | --- |
| 1 | 18.14 |
| 2 | 14.00 |
| 3 | 14.32 |